Entry from Alexandria via LeMat-Bulk: PrNdZnAg after structural relaxation (PBE).

Structure (POSCAR):
```
PrNdZnAg
1.0
-2.962 2.305 -0.322
-1.363 -2.140 -2.785
-3.671 -4.033 4.896
Pr Nd Zn Ag
1 1 1 1
Cartesian
-3.116 -3.423 4.155
-1.339 -1.470 1.785
-4.377 -2.350 1.400
-2.571 -0.367 -1.008
```

Results
The space group is No. 99. Its formation energy is -0.287 eV/atom. The electronic total energy is -14.82 eV per formula unit.